First-principles (PBE-GGA) data for a relaxed structure of CaPr6NdHo2, as listed in the Alexandria database.

- E_form: 0.1269 eV/atom
- Crystal system: monoclinic
- Calculated total energy: -0.31849 Ry per atom

Cell and atoms, written as extended XYZ:
```
20
Lattice="-1.2904 7.9808 5.8344 -5.4944 3.0631 -6.5467 -3.4164 -5.8241 6.0694" Properties=species:S:1:pos:R:3 pbc="T T T"
Ca -4.5755 -0.2513 2.4493
Ca -5.6257 5.4711 2.9078
Pr -3.2787 -3.6793 4.2074
Pr -4.9238 -0.8802 6.4502
Pr -6.9225 8.8990 1.1497
Pr -5.2774 6.0999 -1.0930
Pr -7.2628 3.0317 -1.8644
Pr -3.4169 3.0034 -2.5178
Pr -2.9384 2.1880 7.2216
Pr -6.7843 2.2163 7.8750
Pr -5.7303 0.2527 -0.9259
Pr -4.2685 2.8704 0.6773
Pr -4.4708 4.9670 6.2830
Pr -5.9327 2.3493 4.6798
Nd -5.7581 4.8063 -4.7303
Nd -4.4431 0.4135 10.0875
Ho -7.3948 1.9845 1.6694
Ho -2.3659 0.1203 -0.4722
Ho -2.8064 3.2352 3.6878
Ho -7.8353 5.0995 5.8294
```